1.
# AcTbErMg, optimized geometry, DFT GGA-PBE
# - Raw total energy: -14.29 eV/f.u.
# - Volume: 32.5 Å³/atom
# - Calculated formation energy: 14.7 kJ per mole of atoms
data_AcTbErMg
_cell_length_a 5.6867
_cell_length_b 5.6867
_cell_length_c 5.6867
_cell_angle_alpha 60.00
_cell_angle_beta 60.00
_cell_angle_gamma 60.00
_space_group_name_H-M_alt 'P 1'
_space_group_IT_number 1
loop_
_space_group_symop_operation_xyz
'x,y,z'
loop_
_atom_site_label
_atom_site_type_symbol
_atom_site_fract_x
_atom_site_fract_y
_atom_site_fract_z
Ac1 Ac 0.7500 0.7500 0.7500
Mg1 Mg 0.2500 0.2500 0.2500
Tb1 Tb 0.5000 0.5000 0.5000
Er1 Er 0.0000 0.0000 0.0000

2.
# LiTeOs2, optimized geometry, DFT GGA-PBE
# - ΔE_f (raw): 0.495 eV/atom
# - Raw total energy: -25.54 eV/f.u.
# - Volume: 16.2 Å³/atom
data_LiTeOs2
_cell_length_a 4.4950
_cell_length_b 4.4950
_cell_length_c 5.1790
_cell_angle_alpha 79.87
_cell_angle_beta 79.87
_cell_angle_gamma 39.19
_space_group_name_H-M_alt 'P 1'
_space_group_IT_number 1
loop_
_space_group_symop_operation_xyz
'x,y,z'
loop_
_atom_site_label
_atom_site_type_symbol
_atom_site_fract_x
_atom_site_fract_y
_atom_site_fract_z
Li1 Li 0.2510 0.2510 0.2314
Os1 Os 0.7513 0.7513 0.7993
Os2 Os 0.0047 0.0047 0.0070
Te1 Te 0.4930 0.4930 0.4623

3.
# Y2SnTe2, optimized geometry, DFT GGA-PBE
# - ΔE_f (raw): -0.825 eV/atom
# - Raw total energy: -27.34 eV/f.u.
# - Volume: 28.8 Å³/atom
# - Energy above the most stable polymorph in this dataset: 126 meV per atom
data_Y2SnTe2
_cell_length_a 8.7127
_cell_length_b 8.7127
_cell_length_c 3.7944
_cell_angle_alpha 90.00
_cell_angle_beta 90.00
_cell_angle_gamma 90.00
_space_group_name_H-M_alt 'P 1'
_space_group_IT_number 1
loop_
_space_group_symop_operation_xyz
'x,y,z'
loop_
_atom_site_label
_atom_site_type_symbol
_atom_site_fract_x
_atom_site_fract_y
_atom_site_fract_z
Te1 Te 0.1406 0.3594 0.0000
Te2 Te 0.3594 0.8594 0.0000
Te3 Te 0.8594 0.6406 0.0000
Te4 Te 0.6406 0.1406 0.0000
Y1 Y 0.6557 0.8443 0.5000
Y2 Y 0.1557 0.6557 0.5000
Y3 Y 0.8443 0.3443 0.5000
Y4 Y 0.3443 0.1557 0.5000
Sn1 Sn 0.0000 0.0000 0.0000
Sn2 Sn 0.5000 0.5000 0.0000

4.
# ZrPaHgO6, optimized geometry, DFT GGA-PBE
# - ΔE_f (raw): -2.404 eV/atom
# - Raw total energy: -69.73 eV/f.u.
# - Volume: 15.0 Å³/atom
data_ZrPaHgO6
_cell_length_a 5.1497
_cell_length_b 5.1497
_cell_length_c 10.1972
_cell_angle_alpha 90.00
_cell_angle_beta 90.00
_cell_angle_gamma 90.00
_space_group_name_H-M_alt 'P 1'
_space_group_IT_number 1
loop_
_space_group_symop_operation_xyz
'x,y,z'
loop_
_atom_site_label
_atom_site_type_symbol
_atom_site_fract_x
_atom_site_fract_y
_atom_site_fract_z
Pa1 Pa 0.0000 0.0000 0.6678
Pa2 Pa 0.5000 0.5000 0.1678
O1 O 0.1970 0.8030 0.1789
O2 O 0.6781 0.6781 0.9973
O3 O 0.7056 0.7056 0.3232
O4 O 0.2056 0.7944 0.8232
O5 O 0.2944 0.2944 0.3232
O6 O 0.1781 0.8219 0.4973
O7 O 0.6970 0.6970 0.6789
O8 O 0.8219 0.1781 0.4973
O9 O 0.7944 0.2056 0.8232
O10 O 0.3219 0.3219 0.9973
O11 O 0.8030 0.1970 0.1789
O12 O 0.3030 0.3030 0.6789
Zr1 Zr 0.5000 0.5000 0.8336
Zr2 Zr 0.0000 0.0000 0.3335
Hg1 Hg 0.0000 0.0000 0.9999
Hg2 Hg 0.5000 0.5000 0.4999

5.
# Sc2RuC, optimized geometry, DFT GGA-PBE
# - Raw total energy: -31.97 eV/f.u.
# - Volume: 18.0 Å³/atom
# - Calculated formation energy: -19.6 kJ per mole of atoms
data_Sc2RuC
_cell_length_a 8.5905
_cell_length_b 8.5905
_cell_length_c 6.3815
_cell_angle_alpha 47.70
_cell_angle_beta 47.70
_cell_angle_gamma 90.00
_space_group_name_H-M_alt 'P 1'
_space_group_IT_number 1
loop_
_space_group_symop_operation_xyz
'x,y,z'
loop_
_atom_site_label
_atom_site_type_symbol
_atom_site_fract_x
_atom_site_fract_y
_atom_site_fract_z
Sc1 Sc 0.2872 0.6250 0.2500
Sc2 Sc 0.4628 0.1250 0.2500
Sc3 Sc 0.8750 0.7128 0.7500
Sc4 Sc 0.3750 0.5372 0.7500
C1 C 0.2500 0.7500 0.5000
C2 C 0.5000 0.5000 0.0000
Ru1 Ru 0.0000 0.0000 0.0000
Ru2 Ru 0.7500 0.2500 0.5000

6.
# Dy8ZnGe3Te4, optimized geometry, DFT GGA-PBE
# - ΔE_f (raw): -1.062 eV/atom
# - Raw total energy: -81.50 eV/f.u.
# - Volume: 27.5 Å³/atom
data_Dy8ZnGe3Te4
_cell_length_a 8.4465
_cell_length_b 8.6273
_cell_length_c 8.4467
_cell_angle_alpha 119.31
_cell_angle_beta 120.00
_cell_angle_gamma 90.00
_space_group_name_H-M_alt 'P 1'
_space_group_IT_number 1
loop_
_space_group_symop_operation_xyz
'x,y,z'
loop_
_atom_site_label
_atom_site_type_symbol
_atom_site_fract_x
_atom_site_fract_y
_atom_site_fract_z
Dy1 Dy 0.7540 0.2728 0.5079
Dy2 Dy 0.7540 0.2727 0.0188
Dy3 Dy 0.2607 0.2821 0.5214
Dy4 Dy 0.7393 0.7179 0.4786
Dy5 Dy 0.2460 0.7272 0.4921
Dy6 Dy 0.2648 0.2727 0.0188
Dy7 Dy 0.2460 0.7273 0.9812
Dy8 Dy 0.7352 0.7273 0.9812
Ge1 Ge 0.5000 0.5000 0.5000
Ge2 Ge 0.5000 0.5000 0.0000
Ge3 Ge 0.0000 0.5000 0.5000
Te1 Te 0.5000 0.0000 0.5000
Te2 Te 0.0000 0.0000 0.5000
Te3 Te 0.0000 0.0000 0.0000
Te4 Te 0.5000 0.0000 0.0000
Zn1 Zn 0.0000 0.5000 0.0000

Q: Among the records above, which one has the lowest volume?
A: ZrPaHgO6